i) ## LaSm2In (PBE-GGA)

Data for LaSm2In after structural relaxation.

Summary:
**Magnetization**: 0.1 μB/f.u.

Cell: 7.8787 7.8787 7.8787 Å, 90.00 90.00 90.00°
Space group Fm-3m (No. 225)
Unique sites:
1 La 0.0000 0.0000 0.0000 x4
2 Sm 0.2500 0.2500 0.2500 x8
3 In 0.0000 0.0000 0.5000 x4

---

ii) ## LaSm2In (PBE-GGA)

Data for LaSm2In after structural relaxation.

Summary:
**Magnetization**: 0.0 μB/f.u.

Cell: 5.0073 5.0073 4.9141 Å, 90.00 90.00 90.00°
Space group P4/mmm (No. 123)
Unique sites:
1 La 0.0000 0.0000 0.0000 x1
2 Sm 0.0000 0.5000 0.5000 x2
3 In 0.5000 0.5000 0.0000 x1

---

iii) ## LaSm2In (PBE-GGA)

Data for LaSm2In after structural relaxation.

Summary:
**Magnetization**: 0.0 μB/f.u.

Cell: 3.6927 3.6927 9.3069 Å, 90.00 90.00 90.00°
Space group P4/mmm (No. 123)
Unique sites:
1 La 0.0000 0.0000 0.0000 x1
2 Sm 0.5000 0.5000 0.2781 x2
3 In 0.0000 0.0000 0.5000 x1

---

Top of the stability list: ii), leading by 0.039 eV/atom.

---

i) ## LaSm3In4 (PBE-GGA)

Data for LaSm3In4 after structural relaxation.

Summary:
**Magnetization**: 0.2 μB/f.u.

Cell: 3.5593 7.3531 18.9461 Å, 90.00 90.00 90.00°
Space group Immm (No. 71)
Unique sites:
1 La 0.0000 0.0000 0.0000 x2
2 Sm 0.0000 0.0000 0.5000 x2
3 Sm 0.0000 0.5000 0.2844 x4
4 In 0.0000 0.2965 0.1290 x8

---

ii) ## LaSm3In4 (PBE-GGA)

Data for LaSm3In4 after structural relaxation.

Summary:
**Magnetization**: 0.0 μB/f.u.

Cell: 5.4666 5.4666 7.7132 Å, 90.00 90.00 90.00°
Space group P4/mmm (No. 123)
Unique sites:
1 La 0.0000 0.0000 0.0000 x1
2 Sm 0.0000 0.0000 0.5000 x1
3 Sm 0.5000 0.5000 0.0000 x1
4 Sm 0.5000 0.5000 0.5000 x1
5 In 0.0000 0.5000 0.2568 x4

---

Top of the stability list: ii), leading by 0.175 eV/atom.

---

i) ## La2Sm3In4 (PBE-GGA)

Data for La2Sm3In4 after structural relaxation.

Summary:
**Magnetization**: 0.0 μB/f.u.

Cell: 7.2488 16.9371 9.3346 Å, 90.00 90.00 90.00°
Space group Cmce (No. 64)
Unique sites:
1 La 0.0000 0.1086 0.0735 x8
2 Sm 0.0000 0.0000 0.5000 x4
3 Sm 0.2500 0.2209 0.7500 x8
4 In 0.0000 0.1834 0.4648 x8
5 In 0.2500 0.0358 0.7500 x8

---

ii) ## La2Sm3In4 (PBE-GGA)

Data for La2Sm3In4 after structural relaxation.

Summary:
**Magnetization**: 0.0 μB/f.u.

Cell: 9.4445 5.4654 10.5382 Å, 90.00 90.20 90.00°
Space group C2/m (No. 12)
Unique sites:
1 La 0.1671 0.0000 0.2814 x4
2 Sm 0.0000 0.5000 0.5000 x2
3 Sm 0.1665 0.0000 0.9237 x4
4 In 0.0001 0.5000 0.1474 x4
5 In 0.1662 0.0000 0.6016 x4

---

Top of the stability list: ii), leading by 0.087 eV/atom.

---

i) ## La2Sm4In (PBE-GGA)

Data for La2Sm4In after structural relaxation.

Summary:
**Magnetization**: 0.0 μB/f.u.

Cell: 5.7154 6.6928 12.2250 Å, 90.00 103.32 90.00°
Space group P2_1/m (No. 11)
Unique sites:
1 La 0.0137 0.2500 0.0276 x2
2 La 0.3127 0.2500 0.6156 x2
3 Sm 0.1372 0.5006 0.2756 x4
4 Sm 0.2643 0.7500 0.5435 x2
5 Sm 0.4473 0.2500 0.8943 x2
6 In 0.4092 0.7500 0.8161 x2

---

ii) ## La2Sm4In (PBE-GGA)

Data for La2Sm4In after structural relaxation.

Summary:
**Magnetization**: 0.0 μB/f.u.

Cell: 6.3891 11.0239 6.6048 Å, 90.00 90.05 90.00°
Space group P2_1/c (No. 14)
Unique sites:
1 La 0.2436 0.0461 0.0011 x4
2 Sm 0.0697 0.1531 0.5012 x4
3 Sm 0.3902 0.7496 0.2507 x4
4 In 0.5000 0.0000 0.5000 x2

---

Top of the stability list: ii), leading by 0.007 eV/atom.